Record 1
A geometry-optimized NaVBSb2 structure. Source: Alexandria via LeMat-Bulk, functional PBE.

Lattice parameters (Å, degrees): 5.1271 4.2754 5.1271 90.00 90.00 90.00
With the nearest neighbours (Å) after each atom.
Sites, in units of the cell vectors:
Sb 0.0000 0.0000 0.5000  2 V 2.56
Sb 0.5000 0.0000 0.0000  2 V 2.56
B 0.0000 0.5000 0.0000  2 V 2.14
Na 0.5000 0.5000 0.5000  8 Sb 3.34, 4 B 3.63
V 0.0000 0.0000 0.0000  2 B 2.14

## Properties
space group = P4/mmm
formation energy from raw total energies = 39.9 kJ per mole of atoms

Record 2
A geometry-optimized TiBS2 structure. Source: Alexandria via LeMat-Bulk, functional PBE.

Lattice parameters (Å, degrees): 4.3864 3.0945 6.1326 90.00 90.00 135.13
With the nearest neighbours (Å) after each atom.
Sites, in units of the cell vectors:
Ti 0.4592 0.9248 0.5523  4 S 2.44
B 0.9591 0.9247 0.0523  4 S 1.94
S 0.9591 0.4247 0.2441  2 B 1.94
S 0.4591 0.4247 0.8604  2 B 1.94

## Properties
space group = C222
formation energy from raw total energies = -41.4 kJ per mole of atoms

Record 3
A geometry-optimized Hf6FeNi structure. Source: Alexandria via LeMat-Bulk, functional PBE.

Lattice parameters (Å, degrees): 8.0809 8.0816 4.5145 73.79 73.79 32.44
With the nearest neighbours (Å) after each atom.
Sites, in units of the cell vectors:
Hf 0.2496 0.2496 0.7504  12 Hf 3.11-3.19
Hf 0.8948 0.8945 0.6055  2 Fe 2.75, 2 Ni 2.75
Hf 0.3948 0.3945 0.1054  2 Fe 2.75, 2 Ni 2.75
Hf 0.1052 0.1055 0.3945  2 Fe 2.75, 2 Ni 2.75
Hf 0.7504 0.7504 0.2496  12 Hf 3.11-3.19
Hf 0.6052 0.6055 0.8946  2 Fe 2.75, 2 Ni 2.75
Fe 0.0000 0.0000 0.0000  8 Hf 2.75
Ni 0.5000 0.5000 0.5000  8 Hf 2.75

## Properties
calculated formation energy = -15 kJ per mole of atoms
space group = I4/mmm

Record 4
A geometry-optimized MnH6Pd8 structure. Source: Alexandria via LeMat-Bulk, functional PBE.

Lattice parameters (Å, degrees): 5.4353 5.4353 5.4353 94.91 94.91 94.91
With the nearest neighbours (Å) after each atom.
Sites, in units of the cell vectors:
Mn 0.0000 0.0000 0.0000  8 Pd 2.70-2.71, 6 H 2.99
H 0.6868 0.3713 0.7906  4 Pd 1.80-1.90
H 0.3713 0.7906 0.6868  4 Pd 1.80-1.90
H 0.7906 0.6868 0.3713  4 Pd 1.80-1.90
H 0.3132 0.6287 0.2094  4 Pd 1.80-1.90
H 0.6287 0.2094 0.3132  4 Pd 1.80-1.90
H 0.2094 0.3132 0.6287  4 Pd 1.80-1.90
Pd 0.6854 0.6854 0.6854  3 H 1.85
Pd 0.3146 0.3146 0.3146  3 H 1.85
Pd 0.5766 0.8834 0.2107  3 H 1.80-1.90
Pd 0.8834 0.2107 0.5766  3 H 1.80-1.90
Pd 0.2107 0.5766 0.8834  3 H 1.80-1.90
Pd 0.4234 0.1166 0.7893  3 H 1.80-1.90
Pd 0.1166 0.7893 0.4234  3 H 1.80-1.90
Pd 0.7893 0.4234 0.1166  3 H 1.80-1.90

## Properties
E above lowest polymorph = 0.010 eV per atom
space group = R-3

no.,DOS at the Fermi energy (states/eV/atom)
1,0.678
2,0.433
3,1.011
4,0.221